No. 1
NaU2S5 after structural relaxation, computed with PBE-GGA.

The value obtained for the size of the total moment is 12.00 μB/cell. For the uncorrected energy, the calculation gives -6.84 eV per atom.

The space group is Cmcm (No. 63) and the conventional cell measures 5.303, 13.112 and 13.108 Å, with angles of 90.00, 90.00 and 90.00 degrees. The distinct sites, in fractional coordinates, are Na at (0.000, 0.217, 0.250), U at (0.000, 0.141, 0.556), S at (0.000, 0.046, 0.116), S at (0.000, 0.203, 0.750) and S at (0.000, 0.324, 0.043).

No. 2
YEr3Sc2 after structural relaxation, computed with PBE-GGA.

The value obtained for the size of the total moment is 0.01 μB/cell. Its formation enthalpy at 0 K is 0.305 eV per atom.

The space group is Cmcm (No. 63) and the conventional cell measures 14.210, 9.668 and 5.417 Å, with angles of 90.00, 90.00 and 90.00 degrees. The distinct sites, in fractional coordinates, are Y at (0.000, 0.223, 0.250), Er at (0.000, 0.406, 0.750), Er at (0.242, 0.368, 0.750) and Sc at (0.107, 0.094, 0.750).

No. 3
Y3HfNb after structural relaxation, computed with PBE-GGA.

The value obtained for the size of the total moment is 0.00 μB/cell. Its formation enthalpy at 0 K is 1.341 eV per atom.

The space group is Pm-3m (No. 221) and the conventional cell measures 5.409, 5.409 and 5.409 Å, with angles of 90.00, 90.00 and 90.00 degrees. The distinct sites, in fractional coordinates, are Y at (0.000, 0.000, 0.500), Hf at (0.000, 0.000, 0.000) and Nb at (0.500, 0.500, 0.500).